Below is TiP2S2 after structural relaxation, with properties calculated at the PBE-GGA level.

```
data_TiP2S2
_chemical_formula_sum 'Ti1 P2 S2'
_cell_length_a 4.815
_cell_length_b 4.815
_cell_length_c 4.444
_cell_angle_alpha 90.00
_cell_angle_beta 90.00
_cell_angle_gamma 90.00
_symmetry_space_group_name_H-M 'P 4/m m m'
_symmetry_Int_Tables_number 123
_symmetry_space_group_name_Hall '-P 4 2'
loop_
_atom_site_label
_atom_site_type_symbol
_atom_site_fract_x
_atom_site_fract_y
_atom_site_fract_z
_atom_site_occupancy
Ti1 Ti 0.000 0.000 0.000 1
P1 P 0.000 0.500 0.000 1
S1 S 0.000 0.000 0.500 1
S2 S 0.500 0.500 0.500 1
```

Crystal system   tetragonal
ΔE to the lowest computed polymorph   85 meV per atom
Magnetic moment   0.0 Bohr magnetons per cell
Formation energy from raw total energies   0.4384 eV/atom
Theoretical density   2803 kg/m³


Below is TiP3S after structural relaxation, with properties calculated at the PBE-GGA level.

```
data_TiP3S
_chemical_formula_sum 'Ti1 P3 S1'
_cell_length_a 4.416
_cell_length_b 4.416
_cell_length_c 4.416
_cell_angle_alpha 90.00
_cell_angle_beta 90.00
_cell_angle_gamma 90.00
_symmetry_space_group_name_H-M 'P m -3 m'
_symmetry_Int_Tables_number 221
_symmetry_space_group_name_Hall '-P 4 2 3'
loop_
_atom_site_label
_atom_site_type_symbol
_atom_site_fract_x
_atom_site_fract_y
_atom_site_fract_z
_atom_site_occupancy
Ti1 Ti 0.000 0.000 0.000 1
P1 P 0.000 0.500 0.500 1
S1 S 0.500 0.500 0.500 1
```

Crystal system   cubic
ΔE to the lowest computed polymorph   62 meV per atom
Magnetic moment   0.0 Bohr magnetons per cell
Formation energy from raw total energies   0.6650 eV/atom
Theoretical density   3333 kg/m³


Below is TiTlPS2 after structural relaxation, with properties calculated at the PBE-GGA level.

```
data_TiTlPS2
_chemical_formula_sum 'Ti1 Tl1 P1 S2'
_cell_length_a 4.754
_cell_length_b 4.754
_cell_length_c 4.900
_cell_angle_alpha 90.00
_cell_angle_beta 90.00
_cell_angle_gamma 90.00
_symmetry_space_group_name_H-M 'P 4/m m m'
_symmetry_Int_Tables_number 123
_symmetry_space_group_name_Hall '-P 4 2'
loop_
_atom_site_label
_atom_site_type_symbol
_atom_site_fract_x
_atom_site_fract_y
_atom_site_fract_z
_atom_site_occupancy
Ti1 Ti 0.000 0.000 0.000 1
Tl1 Tl 0.500 0.500 0.500 1
P1 P 0.000 0.000 0.500 1
S1 S 0.000 0.500 0.000 1
```

Crystal system   tetragonal
ΔE to the lowest computed polymorph   0 meV per atom
Magnetic moment   0.0 Bohr magnetons per cell
Formation energy from raw total energies   -0.3678 eV/atom
Theoretical density   5208 kg/m³


Below is TiTlPS2 after structural relaxation, with properties calculated at the PBE-GGA level.

```
data_TiTlPS2
_chemical_formula_sum 'Ti1 Tl1 P1 S2'
_cell_length_a 5.005
_cell_length_b 5.005
_cell_length_c 5.012
_cell_angle_alpha 90.00
_cell_angle_beta 90.00
_cell_angle_gamma 90.00
_symmetry_space_group_name_H-M 'P 4/m m m'
_symmetry_Int_Tables_number 123
_symmetry_space_group_name_Hall '-P 4 2'
loop_
_atom_site_label
_atom_site_type_symbol
_atom_site_fract_x
_atom_site_fract_y
_atom_site_fract_z
_atom_site_occupancy
Ti1 Ti 0.000 0.000 0.000 1
Tl1 Tl 0.500 0.500 0.500 1
P1 P 0.500 0.500 0.000 1
S1 S 0.000 0.500 0.500 1
```

Crystal system   tetragonal
ΔE to the lowest computed polymorph   1445 meV per atom
Magnetic moment   0.0 Bohr magnetons per cell
Formation energy from raw total energies   1.0769 eV/atom
Theoretical density   4594 kg/m³


Below is TiTlP2S after structural relaxation, with properties calculated at the PBE-GGA level.

```
data_TiTlP2S
_chemical_formula_sum 'Ti1 Tl1 P2 S1'
_cell_length_a 5.016
_cell_length_b 5.016
_cell_length_c 5.065
_cell_angle_alpha 90.00
_cell_angle_beta 90.00
_cell_angle_gamma 90.00
_symmetry_space_group_name_H-M 'P 4/m m m'
_symmetry_Int_Tables_number 123
_symmetry_space_group_name_Hall '-P 4 2'
loop_
_atom_site_label
_atom_site_type_symbol
_atom_site_fract_x
_atom_site_fract_y
_atom_site_fract_z
_atom_site_occupancy
Ti1 Ti 0.000 0.000 0.000 1
Tl1 Tl 0.500 0.500 0.500 1
P1 P 0.000 0.500 0.500 1
S1 S 0.500 0.500 0.000 1
```

Crystal system   tetragonal
ΔE to the lowest computed polymorph   1347 meV per atom
Magnetic moment   0.9 Bohr magnetons per cell
Formation energy from raw total energies   1.2506 eV/atom
Theoretical density   4512 kg/m³


Below is TiTlP2S after structural relaxation, with properties calculated at the PBE-GGA level.

```
data_TiTlP2S
_chemical_formula_sum 'Ti1 Tl1 P2 S1'
_cell_length_a 4.820
_cell_length_b 4.820
_cell_length_c 4.757
_cell_angle_alpha 90.00
_cell_angle_beta 90.00
_cell_angle_gamma 90.00
_symmetry_space_group_name_H-M 'P 4/m m m'
_symmetry_Int_Tables_number 123
_symmetry_space_group_name_Hall '-P 4 2'
loop_
_atom_site_label
_atom_site_type_symbol
_atom_site_fract_x
_atom_site_fract_y
_atom_site_fract_z
_atom_site_occupancy
Ti1 Ti 0.000 0.000 0.000 1
Tl1 Tl 0.500 0.500 0.500 1
P1 P 0.000 0.500 0.000 1
S1 S 0.000 0.000 0.500 1
```

Crystal system   tetragonal
ΔE to the lowest computed polymorph   0 meV per atom
Magnetic moment   0.0 Bohr magnetons per cell
Formation energy from raw total energies   -0.0964 eV/atom
Theoretical density   5202 kg/m³


Below is TiVPS2 after structural relaxation, with properties calculated at the PBE-GGA level.

```
data_TiVPS2
_chemical_formula_sum 'Ti1 V1 P1 S2'
_cell_length_a 4.620
_cell_length_b 4.620
_cell_length_c 4.739
_cell_angle_alpha 90.00
_cell_angle_beta 90.00
_cell_angle_gamma 90.00
_symmetry_space_group_name_H-M 'P 4/m m m'
_symmetry_Int_Tables_number 123
_symmetry_space_group_name_Hall '-P 4 2'
loop_
_atom_site_label
_atom_site_type_symbol
_atom_site_fract_x
_atom_site_fract_y
_atom_site_fract_z
_atom_site_occupancy
Ti1 Ti 0.000 0.000 0.000 1
V1 V 0.500 0.500 0.500 1
P1 P 0.000 0.000 0.500 1
S1 S 0.000 0.500 0.000 1
```

Crystal system   tetragonal
ΔE to the lowest computed polymorph   44 meV per atom
Magnetic moment   2.6 Bohr magnetons per cell
Formation energy from raw total energies   0.0596 eV/atom
Theoretical density   3184 kg/m³


Below is TiVPS2 after structural relaxation, with properties calculated at the PBE-GGA level.

```
data_TiVPS2
_chemical_formula_sum 'Ti1 V1 P1 S2'
_cell_length_a 4.501
_cell_length_b 4.501
_cell_length_c 4.602
_cell_angle_alpha 90.00
_cell_angle_beta 90.00
_cell_angle_gamma 90.00
_symmetry_space_group_name_H-M 'P 4/m m m'
_symmetry_Int_Tables_number 123
_symmetry_space_group_name_Hall '-P 4 2'
loop_
_atom_site_label
_atom_site_type_symbol
_atom_site_fract_x
_atom_site_fract_y
_atom_site_fract_z
_atom_site_occupancy
Ti1 Ti 0.000 0.000 0.000 1
V1 V 0.500 0.500 0.500 1
P1 P 0.500 0.500 0.000 1
S1 S 0.000 0.500 0.500 1
```

Crystal system   tetragonal
ΔE to the lowest computed polymorph   0 meV per atom
Magnetic moment   1.8 Bohr magnetons per cell
Formation energy from raw total energies   0.0154 eV/atom
Theoretical density   3454 kg/m³


Below is TiPWS2 after structural relaxation, with properties calculated at the PBE-GGA level.

```
data_TiPWS2
_chemical_formula_sum 'Ti1 P1 W1 S2'
_cell_length_a 4.543
_cell_length_b 4.543
_cell_length_c 4.807
_cell_angle_alpha 90.00
_cell_angle_beta 90.00
_cell_angle_gamma 90.00
_symmetry_space_group_name_H-M 'P 4/m m m'
_symmetry_Int_Tables_number 123
_symmetry_space_group_name_Hall '-P 4 2'
loop_
_atom_site_label
_atom_site_type_symbol
_atom_site_fract_x
_atom_site_fract_y
_atom_site_fract_z
_atom_site_occupancy
Ti1 Ti 0.000 0.000 0.000 1
P1 P 0.000 0.000 0.500 1
W1 W 0.500 0.500 0.500 1
S1 S 0.000 0.500 0.000 1
```

Crystal system   tetragonal
ΔE to the lowest computed polymorph   293 meV per atom
Magnetic moment   2.9 Bohr magnetons per cell
Formation energy from raw total energies   0.6977 eV/atom
Theoretical density   5469 kg/m³


Below is TiP2WS after structural relaxation, with properties calculated at the PBE-GGA level.

```
data_TiP2WS
_chemical_formula_sum 'Ti1 P2 W1 S1'
_cell_length_a 4.708
_cell_length_b 4.708
_cell_length_c 4.591
_cell_angle_alpha 90.00
_cell_angle_beta 90.00
_cell_angle_gamma 90.00
_symmetry_space_group_name_H-M 'P 4/m m m'
_symmetry_Int_Tables_number 123
_symmetry_space_group_name_Hall '-P 4 2'
loop_
_atom_site_label
_atom_site_type_symbol
_atom_site_fract_x
_atom_site_fract_y
_atom_site_fract_z
_atom_site_occupancy
Ti1 Ti 0.000 0.000 0.000 1
P1 P 0.000 0.500 0.500 1
W1 W 0.500 0.500 0.500 1
S1 S 0.500 0.500 0.000 1
```

Crystal system   tetragonal
ΔE to the lowest computed polymorph   0 meV per atom
Magnetic moment   0.1 Bohr magnetons per cell
Formation energy from raw total energies   0.5389 eV/atom
Theoretical density   5314 kg/m³


Question: Which of these has the highest formation energy from raw total energies?
Answer: number 5